Material: MnSeO5
Method: DFT, GGA+U
State: relaxed

## Properties
Fermi-level density of states = 9.7 states/eV per cell
energy above the most stable polymorph in this dataset = 0.000 eV per atom

CIF file:
```
data_MnSeO5
_space_group_name_H-M_alt 'C 1 2/c 1'
_space_group_IT_number 15
_cell_length_a 6.858
_cell_length_b 8.567
_cell_length_c 7.013
_cell_angle_alpha 90.00
_cell_angle_beta 114.46
_cell_angle_gamma 90.00
loop_
_space_group_symop_operation_xyz
'x,y,z'
'-x,-y,-z'
'-x,y,-z+1/2'
'x,-y,z+1/2'
'x+1/2,y+1/2,z'
'-x+1/2,-y+1/2,-z'
'-x+1/2,y+1/2,-z+1/2'
'x+1/2,-y+1/2,z+1/2'
loop_
_atom_site_label
_atom_site_type_symbol
_atom_site_fract_x
_atom_site_fract_y
_atom_site_fract_z
Mn1 Mn 0.000 0.000 0.000
Se1 Se 0.000 0.324 0.250
O1 O 0.000 0.070 0.750
O2 O 0.108 0.215 0.119
O3 O 0.188 0.438 0.425
```

Material: MnSeO2
Method: DFT, GGA+U
State: relaxed

## Properties
calculated total energy = -5.73 eV per atom
Fermi-level density of states = 7.2 states/eV per cell

CIF file:
```
data_MnSeO2
_space_group_name_H-M_alt 'R -3 m'
_space_group_IT_number 166
_space_group_name_Hall '-R 3 2"'
_cell_length_a 2.9829
_cell_length_b 2.9829
_cell_length_c 18.3903
_cell_angle_alpha 90.00
_cell_angle_beta 90.00
_cell_angle_gamma 120.00
loop_
_atom_site_label
_atom_site_type_symbol
_atom_site_fract_x
_atom_site_fract_y
_atom_site_fract_z
Mn1 Mn 0.0000 0.0000 0.0000
Se1 Se 0.0000 0.0000 0.5000
O1 O 0.0000 0.0000 0.3881
```

Material: MnSe2O5
Method: DFT, GGA+U
State: relaxed

## Properties
Fermi-level density of states = 0.0 states/eV per cell
energy above the most stable polymorph in this dataset = 0.000 eV per atom

CIF file:
```
data_MnSe2O5
_space_group_name_H-M_alt 'P b c n'
_space_group_IT_number 60
_cell_length_a 6.967
_cell_length_b 10.835
_cell_length_c 6.407
_cell_angle_alpha 90.00
_cell_angle_beta 90.00
_cell_angle_gamma 90.00
loop_
_space_group_symop_operation_xyz
'x,y,z'
'-x,-y,-z'
'-x+1/2,-y+1/2,z+1/2'
'x+1/2,y+1/2,-z+1/2'
'x+1/2,-y+1/2,-z'
'-x+1/2,y+1/2,z'
'-x,y,-z+1/2'
'x,-y,z+1/2'
loop_
_atom_site_label
_atom_site_type_symbol
_atom_site_fract_x
_atom_site_fract_y
_atom_site_fract_z
Mn1 Mn 0.000 0.060 0.250
Se1 Se 0.134 0.344 0.041
O1 O 0.000 0.430 0.250
O2 O 0.160 0.068 0.548
O3 O 0.199 0.213 0.167
```

Material: Mn3Se3O10
Method: DFT, GGA+U
State: relaxed

## Properties
calculated total energy = -6.35 eV per atom
Fermi-level density of states = 9.2 states/eV per cell

CIF file:
```
data_Mn3Se3O10
_space_group_name_H-M_alt 'C 1 2/m 1'
_space_group_IT_number 12
_cell_length_a 16.141
_cell_length_b 6.798
_cell_length_c 9.935
_cell_angle_alpha 90.00
_cell_angle_beta 119.52
_cell_angle_gamma 90.00
loop_
_space_group_symop_operation_xyz
'x,y,z'
'-x,-y,-z'
'-x,y,-z'
'x,-y,z'
'x+1/2,y+1/2,z'
'-x+1/2,-y+1/2,-z'
'-x+1/2,y+1/2,-z'
'x+1/2,-y+1/2,z'
loop_
_atom_site_label
_atom_site_type_symbol
_atom_site_fract_x
_atom_site_fract_y
_atom_site_fract_z
Mn1 Mn 0.117 0.000 0.083
Mn2 Mn 0.250 0.250 0.000
Mn3 Mn 0.250 0.250 0.500
Se1 Se 0.031 0.000 0.332
Se2 Se 0.114 0.500 0.168
Se3 Se 0.140 0.500 0.672
O1 O 0.017 0.000 0.140
O2 O 0.103 0.201 0.408
O3 O 0.137 0.304 0.078
O4 O 0.151 0.299 0.784
O5 O 0.192 0.000 0.984
O6 O 0.216 0.500 0.347
O7 O 0.249 0.000 0.329
```

Material: Mn3SeO
Method: DFT, GGA+U
State: relaxed

## Properties
Fermi-level density of states = 3.7 states/eV per cell
energy above the most stable polymorph in this dataset = 0.000 eV per atom

CIF file:
```
data_Mn3SeO
_space_group_name_H-M_alt 'P m -3 m'
_space_group_IT_number 221
_space_group_name_Hall '-P 4 2 3'
_cell_length_a 4.425
_cell_length_b 4.425
_cell_length_c 4.425
_cell_angle_alpha 90.00
_cell_angle_beta 90.00
_cell_angle_gamma 90.00
loop_
_atom_site_label
_atom_site_type_symbol
_atom_site_fract_x
_atom_site_fract_y
_atom_site_fract_z
Mn1 Mn 0.000 0.000 0.500
Se1 Se 0.500 0.500 0.500
O1 O 0.000 0.000 0.000
```

Material: MnSe2O
Method: DFT, GGA+U
State: relaxed

## Properties
calculated total energy = -4.81 eV per atom
Fermi-level density of states = 3.2 states/eV per cell

CIF file:
```
data_MnSe2O
_space_group_name_H-M_alt 'I -4 2 d'
_space_group_IT_number 122
_space_group_name_Hall 'I -4 2bw'
_cell_length_a 5.320
_cell_length_b 5.320
_cell_length_c 12.201
_cell_angle_alpha 90.00
_cell_angle_beta 90.00
_cell_angle_gamma 90.00
loop_
_atom_site_label
_atom_site_type_symbol
_atom_site_fract_x
_atom_site_fract_y
_atom_site_fract_z
Mn1 Mn 0.000 0.000 0.000
Se1 Se 0.158 0.250 0.625
O1 O 0.000 0.000 0.500
```

Material: MnSe2O
Method: DFT, GGA+U
State: relaxed

## Properties
calculated total energy = -4.21 eV per atom
Fermi-level density of states = 9.4 states/eV per cell

CIF file:
```
data_MnSe2O
_space_group_name_H-M_alt 'R -3 m'
_space_group_IT_number 166
_space_group_name_Hall '-R 3 2"'
_cell_length_a 3.0800
_cell_length_b 3.0800
_cell_length_c 25.4007
_cell_angle_alpha 90.00
_cell_angle_beta 90.00
_cell_angle_gamma 120.00
loop_
_atom_site_label
_atom_site_type_symbol
_atom_site_fract_x
_atom_site_fract_y
_atom_site_fract_z
Mn1 Mn 0.0000 0.0000 0.0000
Se1 Se 0.0000 0.0000 0.1015
O1 O 0.0000 0.0000 0.5000
```

Material: Mn2Se2O5
Method: DFT, GGA+U
State: relaxed

## Properties
calculated total energy = -6.00 eV per atom
Fermi-level density of states = 2.0 states/eV per cell

CIF file:
```
data_Mn2Se2O5
_space_group_name_H-M_alt 'C 1 2/m 1'
_space_group_IT_number 12
_cell_length_a 14.817
_cell_length_b 3.296
_cell_length_c 7.280
_cell_angle_alpha 90.00
_cell_angle_beta 119.33
_cell_angle_gamma 90.00
loop_
_space_group_symop_operation_xyz
'x,y,z'
'-x,-y,-z'
'-x,y,-z'
'x,-y,z'
'x+1/2,y+1/2,z'
'-x+1/2,-y+1/2,-z'
'-x+1/2,y+1/2,-z'
'x+1/2,-y+1/2,z'
loop_
_atom_site_label
_atom_site_type_symbol
_atom_site_fract_x
_atom_site_fract_y
_atom_site_fract_z
Mn1 Mn 0.072 0.000 0.422
Se1 Se 0.172 0.500 0.128
O1 O 0.000 0.500 0.500
O2 O 0.109 0.500 0.281
O3 O 0.243 0.000 0.221
```

Material: Mn3SeO6
Method: DFT, GGA+U
State: relaxed

## Properties
calculated total energy = -6.82 eV per atom
Fermi-level density of states = 16.3 states/eV per cell

CIF file:
```
data_Mn3SeO6
_space_group_name_H-M_alt 'C m c 21'
_space_group_IT_number 36
_cell_length_a 8.426
_cell_length_b 10.454
_cell_length_c 5.808
_cell_angle_alpha 90.00
_cell_angle_beta 90.00
_cell_angle_gamma 90.00
loop_
_space_group_symop_operation_xyz
'x,y,z'
'-x,-y,z+1/2'
'-x,y,z'
'x,-y,z+1/2'
'x+1/2,y+1/2,z'
'-x+1/2,-y+1/2,z+1/2'
'-x+1/2,y+1/2,z'
'x+1/2,-y+1/2,z+1/2'
loop_
_atom_site_label
_atom_site_type_symbol
_atom_site_fract_x
_atom_site_fract_y
_atom_site_fract_z
Mn1 Mn 0.000 0.041 0.000
Mn2 Mn 0.182 0.358 0.150
Se1 Se 0.000 0.338 0.601
O1 O 0.000 0.256 0.017
O2 O 0.000 0.450 0.362
O3 O 0.154 0.015 0.741
O4 O 0.161 0.256 0.484
```

Material: MnSe2O6
Method: DFT, GGA+U
State: relaxed

## Properties
Fermi-level density of states = 0.0 states/eV per cell
energy above the most stable polymorph in this dataset = 0.054 eV per atom

CIF file:
```
data_MnSe2O6
_space_group_name_H-M_alt 'P -1'
_space_group_IT_number 2
_cell_length_a 6.641
_cell_length_b 6.805
_cell_length_c 6.841
_cell_angle_alpha 76.79
_cell_angle_beta 70.99
_cell_angle_gamma 81.76
loop_
_space_group_symop_operation_xyz
'x,y,z'
'-x,-y,-z'
loop_
_atom_site_label
_atom_site_type_symbol
_atom_site_fract_x
_atom_site_fract_y
_atom_site_fract_z
Mn1 Mn 0.096 0.405 0.228
Se1 Se 0.219 0.867 0.274
Se2 Se 0.364 0.764 0.787
O1 O 0.050 0.682 0.388
O2 O 0.086 0.085 0.206
O3 O 0.186 0.576 0.887
O4 O 0.371 0.884 0.417
O5 O 0.398 0.362 0.279
O6 O 0.403 0.792 0.053
```

Material: MnSe2O6
Method: DFT, GGA+U
State: relaxed

## Properties
energy above the most stable polymorph in this dataset = 0.000 eV per atom

CIF file:
```
data_MnSe2O6
_space_group_name_H-M_alt 'P 1 21/c 1'
_space_group_IT_number 14
_cell_length_a 5.168
_cell_length_b 6.906
_cell_length_c 9.013
_cell_angle_alpha 90.00
_cell_angle_beta 124.38
_cell_angle_gamma 90.00
loop_
_space_group_symop_operation_xyz
'x,y,z'
'-x,-y,-z'
'-x,y+1/2,-z+1/2'
'x,-y+1/2,z+1/2'
loop_
_atom_site_label
_atom_site_type_symbol
_atom_site_fract_x
_atom_site_fract_y
_atom_site_fract_z
Mn1 Mn 0.000 0.000 0.000
Se1 Se 0.311 0.174 0.801
O1 O 0.193 0.086 0.245
O2 O 0.289 0.719 0.586
O3 O 0.292 0.163 0.989
```

Material: Mn4Se3O
Method: DFT, GGA+U
State: relaxed

## Properties
calculated total energy = -6.46 eV per atom

CIF file:
```
data_Mn4Se3O
_space_group_name_H-M_alt 'P n m a'
_space_group_IT_number 62
_cell_length_a 7.793
_cell_length_b 7.951
_cell_length_c 10.719
_cell_angle_alpha 90.00
_cell_angle_beta 90.00
_cell_angle_gamma 90.00
loop_
_space_group_symop_operation_xyz
'x,y,z'
'-x,-y,-z'
'-x+1/2,-y,z+1/2'
'x+1/2,y,-z+1/2'
'x+1/2,-y+1/2,-z+1/2'
'-x+1/2,y+1/2,z+1/2'
'-x,y+1/2,-z'
'x,-y+1/2,z'
loop_
_atom_site_label
_atom_site_type_symbol
_atom_site_fract_x
_atom_site_fract_y
_atom_site_fract_z
Mn1 Mn 0.023 0.250 0.037
Mn2 Mn 0.155 0.045 0.398
Mn3 Mn 0.237 0.250 0.685
Se1 Se 0.018 0.023 0.806
Se2 Se 0.143 0.750 0.515
O1 O 0.243 0.750 0.991
```